(1)
## SmScAg2S4 (GGA-PBE)

Data for an optimized crystal structure of SmScAg2S4.

Cell and atoms, written as POSCAR:
```
SmScAg2S4
1.0
3.948 0.000 0.000
0.000 6.891 -0.189
0.000 -2.678 6.332
S Sm Ag Sc
4 1 2 1
Direct
0.500 0.248 0.233
0.500 0.752 0.767
0.000 0.217 0.767
0.000 0.783 0.233
0.500 0.500 0.000
0.000 0.500 0.500
0.500 0.000 0.500
0.000 0.000 0.000
```

Calculated values
- Magnetization: 0.00 μB per formula unit
- Mass density: 5.3 g/cm³
- Energy relative to the elements, uncorrected: -1.19 eV/atom


(2)
## Sc2Ag2SnS6 (GGA-PBE)

Data for an optimized crystal structure of Sc2Ag2SnS6.

Cell and atoms, written as POSCAR:
```
Sc2Ag2SnS6
1.0
-5.985 -2.396 0.801
2.998 -0.533 -5.739
3.084 -5.411 2.695
S Sc Ag Sn
6 2 2 1
Direct
0.708 0.708 0.716
0.968 0.634 0.284
0.366 0.032 0.716
0.634 0.968 0.284
0.292 0.292 0.284
0.032 0.366 0.716
0.335 0.665 0.500
0.665 0.335 0.500
0.855 0.145 0.000
0.145 0.855 0.000
0.000 0.000 0.500
```

Calculated values
- Magnetization: 0.00 μB per formula unit
- Mass density: 4.2 g/cm³
- Energy relative to the elements, uncorrected: -0.96 eV/atom


(3)
## ScAg3Sn3S8 (GGA-PBE)

Data for an optimized crystal structure of ScAg3Sn3S8.

Cell and atoms, written as POSCAR:
```
ScAg3Sn3S8
1.0
-7.348 2.029 0.705
1.853 -7.342 -1.127
1.576 3.351 6.783
Sc S Ag Sn
1 8 3 3
Direct
0.000 0.000 0.500
0.759 0.519 0.266
0.753 0.994 0.734
0.759 0.006 0.266
0.750 0.499 0.749
0.250 0.501 0.251
0.241 0.994 0.734
0.241 0.481 0.734
0.247 0.006 0.266
0.000 0.500 0.000
0.000 0.000 0.000
0.500 0.500 0.000
0.500 0.000 0.500
0.500 0.500 0.500
0.000 0.500 0.500
```

Calculated values
- Magnetization: 0.00 μB per formula unit
- Mass density: 5.1 g/cm³
- DOS(E_F): 3.30 states/eV/f.u.
- Energy relative to the elements, uncorrected: -0.53 eV/atom


(4)
## ScAgSnS4 (GGA-PBE)

Data for an optimized crystal structure of ScAgSnS4.

Cell and atoms, written as POSCAR:
```
ScAgSnS4
1.0
-5.290 -0.686 -5.432
-0.314 -6.388 -4.223
-5.813 -4.904 0.945
S Ag Sc Sn
8 2 2 2
Direct
0.759 0.757 0.257
0.241 0.243 0.743
0.238 0.783 0.740
0.238 0.240 0.283
0.762 0.217 0.260
0.774 0.243 0.743
0.226 0.757 0.257
0.762 0.760 0.717
0.365 0.385 0.885
0.635 0.615 0.115
0.000 0.000 0.500
0.500 0.000 0.500
0.000 0.000 0.000
0.000 0.500 0.500
```

Calculated values
- Magnetization: 0.00 μB per formula unit
- Mass density: 4.2 g/cm³
- DOS(E_F): 0.87 states/eV/f.u.
- Energy relative to the elements, uncorrected: -0.87 eV/atom


(5)
## SrScAgS3 (GGA-PBE)

Data for an optimized crystal structure of SrScAgS3.

Cell and atoms, written as POSCAR:
```
SrScAgS3
1.0
3.938 0.000 0.000
0.000 7.868 -0.169
0.000 -2.251 8.590
Ag S Sc Sr
2 6 2 2
Direct
0.750 0.897 0.407
0.250 0.103 0.593
0.750 0.278 0.533
0.250 0.722 0.467
0.750 0.894 0.126
0.250 0.552 0.855
0.250 0.106 0.874
0.750 0.448 0.145
0.250 0.676 0.157
0.750 0.324 0.843
0.750 0.786 0.752
0.250 0.214 0.248
```

Calculated values
- Magnetization: 0.00 μB per formula unit
- Mass density: 4.2 g/cm³
- Energy relative to the elements, uncorrected: -1.50 eV/atom


(6)
## ScTa2Ag2S6 (GGA-PBE)

Data for an optimized crystal structure of ScTa2Ag2S6.

Cell and atoms, written as POSCAR:
```
ScTa2Ag2S6
1.0
-1.648 -5.878 0.724
5.213 1.991 2.579
-5.772 4.000 4.378
S Ta Ag Sc
6 2 2 1
Direct
0.455 0.102 0.684
0.206 0.206 0.287
0.898 0.545 0.316
0.545 0.898 0.316
0.794 0.794 0.713
0.102 0.455 0.684
0.363 0.637 0.500
0.637 0.363 0.500
0.683 0.317 0.000
0.317 0.683 0.000
0.000 0.000 0.500
```

Calculated values
- Magnetization: 0.00 μB per formula unit
- Mass density: 5.5 g/cm³
- DOS(E_F): 4.01 states/eV/f.u.
- Energy relative to the elements, uncorrected: -0.90 eV/atom


(7)
## Sc3TaAg3S8 (GGA-PBE)

Data for an optimized crystal structure of Sc3TaAg3S8.

Cell and atoms, written as POSCAR:
```
Sc3TaAg3S8
1.0
7.336 0.000 0.000
-3.668 6.328 -0.928
0.000 -5.069 7.920
S Ag Sc Ta
8 3 3 1
Direct
0.774 0.032 0.702
0.236 0.473 0.297
0.764 0.527 0.703
0.253 0.506 0.696
0.258 0.032 0.702
0.742 0.968 0.298
0.226 0.968 0.298
0.747 0.494 0.304
0.500 0.500 0.000
0.000 0.000 0.000
0.000 0.500 0.000
0.500 0.000 0.500
0.500 0.500 0.500
0.000 0.500 0.500
0.000 0.000 0.500
```

Calculated values
- Magnetization: 0.00 μB per formula unit
- Mass density: 4.5 g/cm³
- DOS(E_F): 5.24 states/eV/f.u.
- Energy relative to the elements, uncorrected: -1.11 eV/atom


(8)
## Tb3ScAg4S8 (GGA-PBE)

Data for an optimized crystal structure of Tb3ScAg4S8.

Cell and atoms, written as POSCAR:
```
Tb3ScAg4S8
1.0
-1.488 -7.758 1.577
5.985 0.878 9.968
-5.798 4.642 -3.210
Tb Ag S Sc
3 4 8 1
Direct
0.000 0.500 0.500
0.500 0.500 0.500
0.500 0.500 0.000
0.500 0.000 0.500
0.000 0.000 0.000
0.000 0.000 0.500
0.500 0.000 0.000
0.214 0.311 0.428
0.722 0.313 0.445
0.201 0.314 0.925
0.276 0.686 0.075
0.799 0.686 0.075
0.786 0.689 0.572
0.278 0.687 0.555
0.724 0.314 0.925
0.000 0.500 0.000
```

Calculated values
- Magnetization: 0.00 μB per formula unit
- Mass density: 4.7 g/cm³
- DOS(E_F): 0.00 states/eV/f.u.
- Energy relative to the elements, uncorrected: -1.27 eV/atom


(9)
## Tb2ScAg3S6 (GGA-PBE)

Data for an optimized crystal structure of Tb2ScAg3S6.

Cell and atoms, written as POSCAR:
```
Tb2ScAg3S6
1.0
6.854 -0.139 1.086
-3.546 5.867 1.086
-0.218 -0.378 7.760
Tb S Sc Ag
2 6 1 3
Direct
0.666 0.334 0.000
0.334 0.666 0.000
0.371 0.371 0.813
0.629 0.629 0.187
0.052 0.735 0.814
0.948 0.265 0.186
0.265 0.948 0.186
0.735 0.052 0.814
0.000 0.000 0.000
0.848 0.152 0.500
0.152 0.848 0.500
0.500 0.500 0.500
```

Calculated values
- Magnetization: 0.00 μB per formula unit
- Mass density: 4.6 g/cm³
- DOS(E_F): 0.00 states/eV/f.u.
- Energy relative to the elements, uncorrected: -1.27 eV/atom


(10)
## TbSc2Ag3S6 (GGA-PBE)

Data for an optimized crystal structure of TbSc2Ag3S6.

Cell and atoms, written as POSCAR:
```
TbSc2Ag3S6
1.0
-1.326 -3.362 5.714
-1.977 -2.550 -5.941
5.545 -5.387 -0.685
S Ag Sc Tb
6 3 2 1
Direct
0.945 0.296 0.185
0.055 0.704 0.815
0.704 0.055 0.815
0.296 0.945 0.185
0.405 0.405 0.816
0.595 0.595 0.184
0.500 0.500 0.500
0.821 0.179 0.500
0.179 0.821 0.500
0.333 0.667 0.000
0.667 0.333 0.000
0.000 0.000 0.000
```

Calculated values
- Magnetization: 0.00 μB per formula unit
- Mass density: 4.3 g/cm³
- DOS(E_F): 0.00 states/eV/f.u.
- Energy relative to the elements, uncorrected: -1.24 eV/atom


(11)
## ScAg2TeS4 (GGA-PBE)

Data for an optimized crystal structure of ScAg2TeS4.

Cell and atoms, written as POSCAR:
```
ScAg2TeS4
1.0
-3.527 1.828 -6.672
-5.241 -5.730 -0.017
-0.211 5.011 5.636
S Ag Sc Te
8 4 2 2
Direct
0.802 0.308 0.061
0.192 0.698 0.439
0.214 0.192 0.947
0.808 0.302 0.561
0.692 0.714 0.447
0.786 0.808 0.053
0.308 0.286 0.553
0.198 0.692 0.939
0.000 0.000 0.500
0.500 0.000 0.000
0.500 0.500 0.000
0.500 0.000 0.500
0.000 0.500 0.000
0.000 0.500 0.500
0.500 0.500 0.500
0.000 0.000 0.000
```

Calculated values
- Magnetization: 0.00 μB per formula unit
- Mass density: 4.9 g/cm³
- DOS(E_F): 1.33 states/eV/f.u.
- Energy relative to the elements, uncorrected: -0.52 eV/atom


(12)
## Sc2AgTeS (GGA-PBE)

Data for an optimized crystal structure of Sc2AgTeS.

Cell and atoms, written as POSCAR:
```
Sc2AgTeS
1.0
-4.176 2.087 1.028
-0.147 -2.677 4.835
2.323 3.625 2.078
Te Sc Ag S
1 2 1 1
Direct
0.000 0.500 0.000
0.500 0.000 0.000
0.000 0.000 0.500
0.500 0.500 0.500
0.000 0.000 0.000
```

Calculated values
- Magnetization: 0.00 μB per formula unit
- Mass density: 4.7 g/cm³
- DOS(E_F): 4.14 states/eV/f.u.
- Energy relative to the elements, uncorrected: -0.28 eV/atom


(13)
## Sc3TiAg3S8 (GGA-PBE)

Data for an optimized crystal structure of Sc3TiAg3S8.

Cell and atoms, written as POSCAR:
```
Sc3TiAg3S8
1.0
-6.203 2.547 -3.123
1.585 -7.220 -0.277
-2.156 3.090 6.804
Ag S Sc Ti
3 8 3 1
Direct
0.500 0.500 0.000
0.000 0.500 0.000
0.000 0.000 0.000
0.753 0.986 0.716
0.232 0.464 0.716
0.232 0.986 0.716
0.768 0.014 0.284
0.768 0.536 0.284
0.257 0.515 0.274
0.743 0.485 0.726
0.247 0.014 0.284
0.500 0.000 0.500
0.000 0.500 0.500
0.500 0.500 0.500
0.000 0.000 0.500
```

Calculated values
- Magnetization: 0.00 μB per formula unit
- Mass density: 4.1 g/cm³
- Energy relative to the elements, uncorrected: -1.18 eV/atom


(14)
## ScTiAgS4 (GGA-PBE)

Data for an optimized crystal structure of ScTiAgS4.

Cell and atoms, written as POSCAR:
```
ScTiAgS4
1.0
-2.604 -1.241 -6.703
6.397 -3.213 2.082
-6.605 -2.253 2.983
Sc S Ti Ag
2 8 2 2
Direct
0.500 0.000 0.500
0.500 0.000 0.000
0.717 0.961 0.730
0.283 0.039 0.270
0.254 0.509 0.724
0.244 0.961 0.731
0.254 0.509 0.284
0.746 0.491 0.276
0.756 0.039 0.269
0.746 0.491 0.716
0.000 0.500 0.500
0.500 0.500 0.500
0.870 0.740 0.120
0.130 0.260 0.880
```

Calculated values
- Magnetization: 0.00 μB per formula unit
- Mass density: 3.7 g/cm³
- DOS(E_F): 0.23 states/eV/f.u.
- Energy relative to the elements, uncorrected: -1.25 eV/atom


(15)
## ScTl2AgS (GGA-PBE)

Data for an optimized crystal structure of ScTl2AgS.

Cell and atoms, written as POSCAR:
```
ScTl2AgS
1.0
5.554 0.000 0.000
0.000 5.554 0.000
0.000 0.000 4.688
Ag Tl Sc S
1 2 1 1
Direct
0.000 0.000 0.000
0.500 0.000 0.000
0.000 0.500 0.000
0.500 0.500 0.500
0.000 0.000 0.500
```

Calculated values
- Magnetization: 0.58 μB per formula unit
- Mass density: 6.8 g/cm³
- DOS(E_F): 4.30 states/eV/f.u.
- Energy relative to the elements, uncorrected: 0.37 eV/atom


(16)
## TmSc4AgS8 (GGA-PBE)

Data for an optimized crystal structure of TmSc4AgS8.

Cell and atoms, written as POSCAR:
```
TmSc4AgS8
1.0
7.630 0.000 0.000
3.815 6.608 0.000
3.815 2.203 6.337
S Tm Sc Ag
8 1 4 1
Direct
0.752 0.752 0.265
0.240 0.240 0.281
0.758 0.758 0.725
0.777 0.247 0.730
0.231 0.752 0.265
0.247 0.247 0.730
0.752 0.231 0.265
0.247 0.777 0.730
0.003 0.003 0.990
0.627 0.627 0.120
0.005 0.005 0.506
0.005 0.484 0.506
0.484 0.005 0.506
0.372 0.372 0.883
```

Calculated values
- Magnetization: 0.00 μB per formula unit
- Mass density: 3.7 g/cm³
- Energy relative to the elements, uncorrected: -1.71 eV/atom


(17)
## TmSc2Ag3S6 (GGA-PBE)

Data for an optimized crystal structure of TmSc2Ag3S6.

Cell and atoms, written as POSCAR:
```
TmSc2Ag3S6
1.0
6.622 -0.132 1.026
-3.424 5.670 1.026
-0.193 -0.333 7.745
S Ag Tm Sc
6 3 1 2
Direct
0.601 0.601 0.184
0.710 0.055 0.815
0.399 0.399 0.816
0.290 0.945 0.185
0.055 0.710 0.815
0.945 0.290 0.185
0.825 0.175 0.500
0.500 0.500 0.500
0.175 0.825 0.500
0.000 0.000 0.000
0.333 0.667 0.000
0.667 0.333 0.000
```

Calculated values
- Magnetization: 0.00 μB per formula unit
- Mass density: 4.4 g/cm³
- DOS(E_F): 0.00 states/eV/f.u.
- Energy relative to the elements, uncorrected: -1.24 eV/atom


(18)
## TmScAg2S4 (GGA-PBE)

Data for an optimized crystal structure of TmScAg2S4.

Cell and atoms, written as POSCAR:
```
TmScAg2S4
1.0
3.882 0.000 0.000
0.000 6.610 -0.166
0.000 2.297 6.307
Ag S Tm Sc
2 4 1 1
Direct
0.500 0.000 0.500
0.000 0.000 0.000
0.500 0.732 0.253
0.000 0.728 0.770
0.500 0.268 0.747
0.000 0.272 0.230
0.000 0.500 0.500
0.500 0.500 0.000
```

Calculated values
- Magnetization: 0.00 μB per formula unit
- Mass density: 5.7 g/cm³
- DOS(E_F): 0.00 states/eV/f.u.
- Energy relative to the elements, uncorrected: -1.22 eV/atom


(19)
## Tm3ScAg4S8 (GGA-PBE)

Data for an optimized crystal structure of Tm3ScAg4S8.

Cell and atoms, written as POSCAR:
```
Tm3ScAg4S8
1.0
-5.288 -4.510 3.784
6.757 0.002 9.445
-2.473 5.909 -4.689
S Ag Sc Tm
8 4 1 3
Direct
0.720 0.315 0.924
0.204 0.315 0.924
0.280 0.685 0.076
0.213 0.313 0.427
0.787 0.687 0.573
0.796 0.685 0.076
0.281 0.686 0.561
0.719 0.314 0.439
0.500 0.000 0.000
0.500 0.000 0.500
0.000 0.000 0.500
0.000 0.000 0.000
0.000 0.500 0.000
0.500 0.500 0.000
0.500 0.500 0.500
0.000 0.500 0.500
```

Calculated values
- Magnetization: 0.00 μB per formula unit
- Mass density: 5.0 g/cm³
- DOS(E_F): 0.00 states/eV/f.u.
- Energy relative to the elements, uncorrected: -1.28 eV/atom


(20)
## Tm2ScAg3S6 (GGA-PBE)

Data for an optimized crystal structure of Tm2ScAg3S6.

Cell and atoms, written as POSCAR:
```
Tm2ScAg3S6
1.0
-1.070 -5.977 2.991
5.171 0.759 -4.302
2.322 3.448 5.172
Ag S Tm Sc
3 6 2 1
Direct
0.500 0.500 0.500
0.830 0.170 0.500
0.170 0.830 0.500
0.923 0.599 0.767
0.599 0.923 0.767
0.077 0.401 0.233
0.401 0.077 0.233
0.754 0.754 0.231
0.246 0.246 0.769
0.334 0.666 0.000
0.666 0.334 0.000
0.000 0.000 0.000
```

Calculated values
- Magnetization: 0.00 μB per formula unit
- Mass density: 6.0 g/cm³
- DOS(E_F): 0.00 states/eV/f.u.
- Energy relative to the elements, uncorrected: -1.24 eV/atom